(1)
YZn4Au12 | the Alexandria database | PBE | relaxed; energy relative to the elements = 0.0 eV/f.u.; crystal system = cubic; raw total energy = -2.99 eV per atom; M_tot = 0.000 μB/f.u.
1.0
-4.4566 4.4566 4.4566
4.4566 -4.4566 4.4566
4.4566 4.4566 -4.4566
Y Zn Au
1 4 12
Direct
0.0000 0.0000 0.0000
0.0000 0.0000 0.5000
0.0000 0.5000 0.0000
0.5000 0.0000 0.0000
0.5000 0.5000 0.5000
0.1539 0.3424 0.4963
0.1539 0.6576 0.8115
0.1885 0.8461 0.3424
0.3424 0.1885 0.8461
0.3424 0.4963 0.1539
0.4963 0.1539 0.3424
0.5037 0.8461 0.6576
0.6576 0.5037 0.8461
0.6576 0.8115 0.1539
0.8115 0.1539 0.6576
0.8461 0.3424 0.1885
0.8461 0.6576 0.5037

(2)
CsBa2TlO4 | the Alexandria database | PBE | relaxed; raw formation energy = -1.559 eV/atom; crystal system = monoclinic; raw total energy = -4.92 eV per atom; M_tot = 0.000 μB/f.u.
1.0
5.6634 -5.5067 0.0000
5.6634 5.5067 0.0000
-5.5590 0.0000 5.7285
Cs Ba Tl O
2 4 2 8
Direct
0.0000 0.0000 0.0000
0.0000 0.0000 0.5000
0.0000 0.5000 0.0000
0.5000 0.0000 0.5000
0.5000 0.5000 0.0000
0.5000 0.5000 0.5000
0.0000 0.5000 0.5000
0.5000 0.0000 0.0000
0.2130 0.3355 0.5255
0.2594 0.7329 0.4611
0.2671 0.7406 0.0389
0.3355 0.2130 0.0255
0.6645 0.7870 0.9745
0.7329 0.2594 0.9611
0.7406 0.2671 0.5389
0.7870 0.6645 0.4745

(3)
CaTaAg2 | the Alexandria database | PBE | relaxed; energy relative to the elements = 1.6 eV/f.u.; crystal system = monoclinic; raw total energy = -4.49 eV per atom; M_tot = 0.000 μB/f.u.
1.0
4.6974 -1.4604 0.0000
4.6974 1.4604 0.0000
-0.7044 0.0000 6.3011
Ca Ta Ag
1 1 2
Direct
0.0000 0.0000 0.0000
0.5000 0.5000 0.5000
0.2449 0.2449 0.7037
0.7551 0.7551 0.2963

(4)
AlAg3 | the Alexandria database | PBE | relaxed; energy relative to the elements = 0.1 eV/f.u.; crystal system = cubic; raw total energy = -3.06 eV per atom; M_tot = 0.000 μB/f.u.
1.0
5.2072 0.0000 0.0000
0.0000 5.2072 0.0000
0.0000 0.0000 5.2072
Al Ag
2 6
Direct
0.0000 0.0000 0.0000
0.5000 0.5000 0.5000
0.0000 0.2500 0.5000
0.0000 0.7500 0.5000
0.2500 0.5000 0.0000
0.5000 0.0000 0.2500
0.5000 0.0000 0.7500
0.7500 0.5000 0.0000